Here is a relaxed ThGe3Pt2 crystal from Alexandria. Energies are from PBE.

Geometry as CIF:
```
data_ThGe3Pt2
_chemical_formula_sum 'Th4 Ge12 Pt8'
_cell_length_a 15.625
_cell_length_b 4.278
_cell_length_c 7.421
_cell_angle_alpha 90.00
_cell_angle_beta 108.03
_cell_angle_gamma 90.00
_symmetry_space_group_name_H-M 'C 1 2/m 1'
_symmetry_Int_Tables_number 12
_symmetry_space_group_name_Hall '-C 2y'
loop_
_atom_site_label
_atom_site_fract_x
_atom_site_fract_y
_atom_site_fract_z
Th1 0.137 0.000 0.112
Ge1 0.028 0.000 0.671
Ge2 0.161 0.500 0.832
Ge3 0.164 0.500 0.450
Pt1 0.009 0.500 0.191
Pt2 0.198 0.000 0.674
```


Here is a relaxed Th2Ge3Pt2 crystal from Alexandria. Energies are from PBE.

Geometry as CIF:
```
data_Th2Ge3Pt2
_chemical_formula_sum 'Th8 Ge12 Pt8'
_cell_length_a 4.402
_cell_length_b 18.931
_cell_length_c 7.007
_cell_angle_alpha 90.00
_cell_angle_beta 90.00
_cell_angle_gamma 90.00
_symmetry_space_group_name_H-M 'C m c m'
_symmetry_Int_Tables_number 63
_symmetry_space_group_name_Hall '-C 2c 2'
loop_
_atom_site_label
_atom_site_fract_x
_atom_site_fract_y
_atom_site_fract_z
Th1 0.000 0.055 0.250
Th2 0.000 0.158 0.750
Ge1 0.000 0.221 0.250
Ge2 0.000 0.439 0.066
Pt1 0.000 0.311 0.548
```


Here is a relaxed ThGe6Pt12 crystal from Alexandria. Energies are from PBE.

Geometry as CIF:
```
data_ThGe6Pt12
_chemical_formula_sum 'Th3 Ge18 Pt36'
_cell_length_a 11.6343
_cell_length_b 11.6343
_cell_length_c 8.6933
_cell_angle_alpha 90.00
_cell_angle_beta 90.00
_cell_angle_gamma 120.00
_symmetry_space_group_name_H-M 'R -3 m'
_symmetry_Int_Tables_number 166
_symmetry_space_group_name_Hall '-R 3 2"'
loop_
_atom_site_label
_atom_site_fract_x
_atom_site_fract_y
_atom_site_fract_z
Th1 0.0000 0.0000 0.0000
Ge1 0.0569 0.5284 0.2717
Pt1 0.0000 0.3697 0.5000
Pt2 0.0793 0.1585 0.2855
```


no.,total magnetic moment (μB per formula unit),formation enthalpy at 0 K (eV/atom)
1,0.0,-0.6939
2,0.0,-0.8624
3,0.0,-0.4307